[1]
This record from Alexandria via LeMat-Bulk describes a relaxed ZrCdS2 crystal. The functional is GGA-PBEsol.

Values from the calculation:
As for the total magnetization: 0.00 μB per atom. Its total energy is -61.28 eV for the cell shown.

Geometry as CIF:
```
data_ZrCdS2
_chemical_formula_sum 'Zr3 Cd3 S6'
_space_group_name_H-M_alt 'R -3 m'
_space_group_IT_number 166
_space_group_name_Hall '-R 3 2"'
_cell_length_a 3.7099
_cell_length_b 3.7099
_cell_length_c 23.5208
_cell_angle_alpha 90.00
_cell_angle_beta 90.00
_cell_angle_gamma 120.00
loop_
_atom_site_label
_atom_site_fract_x
_atom_site_fract_y
_atom_site_fract_z
_atom_site_occupancy
Zr1 0.0000 0.0000 0.0000 1
Cd1 0.0000 0.0000 0.5000 1
S1 0.0000 0.0000 0.1018 1
```

[2]
This record from Alexandria via LeMat-Bulk describes a relaxed ZrCd3S crystal. The functional is GGA-PBEsol.

Values from the calculation:
As for the total magnetization: 0.00 μB per atom. Its total energy is -11.13 eV for the cell shown.

Geometry as CIF:
```
data_ZrCd3S
_chemical_formula_sum 'Zr1 Cd3 S1'
_space_group_name_H-M_alt 'P m -3 m'
_space_group_IT_number 221
_space_group_name_Hall '-P 4 2 3'
_cell_length_a 5.4741
_cell_length_b 5.4741
_cell_length_c 5.4741
_cell_angle_alpha 90.00
_cell_angle_beta 90.00
_cell_angle_gamma 90.00
loop_
_atom_site_label
_atom_site_fract_x
_atom_site_fract_y
_atom_site_fract_z
_atom_site_occupancy
Zr1 0.0000 0.0000 0.0000 1
Cd1 0.0000 0.0000 0.5000 1
S1 0.5000 0.5000 0.5000 1
```

[3]
This record from Alexandria via LeMat-Bulk describes a relaxed Cd5Sb crystal. The functional is GGA-PBEsol.

Values from the calculation:
Its offset from the most stable computed form is 35 meV per atom. As for the total magnetization: 0.00 μB per atom. Its total energy is -10.02 eV for the cell shown.

Geometry as CIF:
```
data_Cd5Sb
_chemical_formula_sum 'Cd5 Sb1'
_space_group_name_H-M_alt 'P -6 2 m'
_space_group_IT_number 189
_space_group_name_Hall 'P -6 -2'
_cell_length_a 5.3301
_cell_length_b 5.3301
_cell_length_c 5.4789
_cell_angle_alpha 90.00
_cell_angle_beta 90.00
_cell_angle_gamma 120.00
loop_
_atom_site_label
_atom_site_fract_x
_atom_site_fract_y
_atom_site_fract_z
_atom_site_occupancy
Cd1 0.0000 0.6602 0.0000 1
Cd2 0.3333 0.6667 0.5000 1
Sb1 0.0000 0.0000 0.5000 1
```

[4]
This record from Alexandria via LeMat-Bulk describes a relaxed Cd3Sb crystal. The functional is GGA-PBEsol.

Values from the calculation:
Its offset from the most stable computed form is 27 meV per atom. As for the total magnetization: 0.00 μB per atom. Its total energy is -7.83 eV for the cell shown.

Geometry as CIF:
```
data_Cd3Sb
_chemical_formula_sum 'Cd3 Sb1'
_space_group_name_H-M_alt 'P m m m'
_space_group_IT_number 47
_cell_length_a 3.1071
_cell_length_b 4.4201
_cell_length_c 6.6272
_cell_angle_alpha 90.00
_cell_angle_beta 90.00
_cell_angle_gamma 90.00
loop_
_space_group_symop_operation_xyz
'x,y,z'
'-x,-y,-z'
'-x,-y,z'
'x,y,-z'
'x,-y,-z'
'-x,y,z'
'-x,y,-z'
'x,-y,z'
loop_
_atom_site_label
_atom_site_fract_x
_atom_site_fract_y
_atom_site_fract_z
_atom_site_occupancy
Cd1 0.0000 0.0000 0.0000 1
Cd2 0.5000 0.5000 0.2314 1
Sb1 0.0000 0.0000 0.5000 1
```